[1]
Material: PmTcPb
Method: DFT, PBE
State: relaxed

Calculated values
size of the total moment	0.423	μB/f.u.
V	80.6	Å³/cell
DFT total energy	-5.688	eV per atom
space group	No. 216

a b c (Å): 4.8480 4.8480 4.8480
angles (deg): 60.00 60.00 60.00
With the nearest neighbours (Å) after each atom.
Positions (direct):
Pb (0.0000, 0.0000, 0.0000)  4 Tc 2.97, 4 Pm 2.97
Pm (0.2500, 0.2500, 0.2500)  4 Pb 2.97
Tc (0.7500, 0.7500, 0.7500)  4 Pb 2.97



[2]
Material: CsNpPd
Method: DFT, PBE
State: relaxed

Calculated values
size of the total moment	4.838	μB/f.u.
V	80.4	Å³/cell
DFT total energy	-4.877	eV per atom
space group	No. 216

a b c (Å): 4.8437 4.8437 4.8437
angles (deg): 60.00 60.00 60.00
With the nearest neighbours (Å) after each atom.
Positions (direct):
Cs (0.0000, 0.0000, 0.0000)  4 Pd 2.97, 4 Np 2.97
Np (0.2500, 0.2500, 0.2500)  4 Cs 2.97
Pd (0.7500, 0.7500, 0.7500)  4 Cs 2.97



[3]
Material: GdTlCo
Method: DFT, PBE
State: relaxed

Calculated values
size of the total moment	0.012	μB/f.u.
V	68.5	Å³/cell
DFT total energy	-4.702	eV per atom
space group	No. 216

a b c (Å): 4.5925 4.5925 4.5925
angles (deg): 60.00 60.00 60.00
With the nearest neighbours (Å) after each atom.
Positions (direct):
Co (0.0000, 0.0000, 0.0000)  4 Gd 2.81, 4 Tl 2.81
Gd (0.2500, 0.2500, 0.2500)  4 Co 2.81
Tl (0.7500, 0.7500, 0.7500)  4 Co 2.81



[4]
Material: PrBeO3
Method: DFT, PBE
State: relaxed

Calculated values
size of the total moment	1.001	μB/f.u.
V	137.1	Å³/cell
DFT total energy	-7.137	eV per atom
space group	No. 167

a b c (Å): 6.2109 6.2109 6.2109
angles (deg): 51.88 51.88 51.88
With the nearest neighbours (Å) after each atom.
Positions (direct):
Be (0.2500, 0.2500, 0.2500)  3 O 1.53
Be (0.7500, 0.7500, 0.7500)  3 O 1.53
O (0.7500, 0.4675, 0.0325)  1 Be 1.53
O (0.5325, 0.9675, 0.2500)  1 Be 1.53
O (0.0325, 0.7500, 0.4675)  1 Be 1.53
O (0.9675, 0.2500, 0.5325)  1 Be 1.53
O (0.4675, 0.0325, 0.7500)  1 Be 1.53
O (0.2500, 0.5325, 0.9675)  1 Be 1.53
Pr (0.0000, 0.0000, 0.0000)  6 O 2.38
Pr (0.5000, 0.5000, 0.5000)  6 O 2.38



[5]
Material: SmBiPb
Method: DFT, PBE
State: relaxed

Calculated values
size of the total moment	0.003	μB/f.u.
V	105.6	Å³/cell
DFT total energy	-4.252	eV per atom
space group	No. 216

a b c (Å): 5.3055 5.3055 5.3055
angles (deg): 60.00 60.00 60.00
With the nearest neighbours (Å) after each atom.
Positions (direct):
Bi (0.2500, 0.2500, 0.2500)  4 Pb 3.25
Pb (0.0000, 0.0000, 0.0000)  4 Sm 3.25, 4 Bi 3.25
Sm (0.7500, 0.7500, 0.7500)  4 Pb 3.25



[6]
Material: CsPaIn
Method: DFT, PBE
State: relaxed

Calculated values
size of the total moment	1.016	μB/f.u.
V	103.8	Å³/cell
DFT total energy	-2.819	eV per atom
space group	No. 216

a b c (Å): 5.2757 5.2757 5.2757
angles (deg): 60.00 60.00 60.00
With the nearest neighbours (Å) after each atom.
Positions (direct):
Cs (0.0000, 0.0000, 0.0000)  4 Pa 3.23, 4 In 3.23
In (0.7500, 0.7500, 0.7500)  4 Cs 3.23
Pa (0.2500, 0.2500, 0.2500)  4 Cs 3.23



[7]
Material: CdHgGeTe3
Method: DFT, PBE
State: relaxed

Calculated values
V	352.4	Å³/cell
DFT total energy	-2.518	eV per atom
space group	No. 63

a b c (Å): 4.1904 8.2072 10.5968
angles (deg): 90.00 90.00 75.21
With the nearest neighbours (Å) after each atom.
Positions (direct):
Cd (0.5327, 0.9346, 0.2500)  4 Te 2.85-2.86
Cd (0.4673, 0.0654, 0.7500)  4 Te 2.85-2.86
Ge (0.2317, 0.5366, 0.2500)  4 Te 3.03
Ge (0.7683, 0.4634, 0.7500)  4 Te 3.03
Hg (0.0000, 0.0000, 0.0000)  2 Te 3.01
Hg (0.0000, 0.0000, 0.5000)  2 Te 3.01
Te (0.6654, 0.6693, 0.0687)  1 Cd 2.85, 2 Ge 3.03
Te (0.9101, 0.1797, 0.2500)  2 Cd 2.86, 2 Hg 3.01
Te (0.6654, 0.6693, 0.4313)  1 Cd 2.85, 2 Ge 3.03
Te (0.3346, 0.3307, 0.5687)  1 Cd 2.85, 2 Ge 3.03
Te (0.0899, 0.8203, 0.7500)  2 Cd 2.86, 2 Hg 3.01
Te (0.3346, 0.3307, 0.9313)  1 Cd 2.85, 2 Ge 3.03



[8]
Material: ZnInAs2
Method: DFT, PBE
State: relaxed

Calculated values
V	82.1	Å³/cell
DFT total energy	-3.054	eV per atom
space group	No. 216

a b c (Å): 4.8781 4.8781 4.8781
angles (deg): 60.00 60.00 60.00
With the nearest neighbours (Å) after each atom.
Positions (direct):
As (0.0000, 0.0000, 0.0000)  4 As 2.99, 4 Zn 2.99
As (0.7500, 0.7500, 0.7500)  4 As 2.99, 4 In 2.99
In (0.5000, 0.5000, 0.5000)  4 Zn 2.99, 4 As 2.99
Zn (0.2500, 0.2500, 0.2500)  4 In 2.99, 4 As 2.99



[9]
Material: LiCo2Ag
Method: DFT, PBE
State: relaxed

Calculated values
size of the total moment	3.174	μB/f.u.
V	50.6	Å³/cell
DFT total energy	-4.472	eV per atom
space group	No. 216

a b c (Å): 4.1503 4.1503 4.1503
angles (deg): 60.00 60.00 60.00
With the nearest neighbours (Å) after each atom.
Positions (direct):
Ag (0.2500, 0.2500, 0.2500)  4 Li 2.54, 4 Co 2.54
Co (0.0000, 0.0000, 0.0000)  4 Co 2.54, 4 Ag 2.54
Co (0.7500, 0.7500, 0.7500)  4 Co 2.54, 4 Li 2.54
Li (0.5000, 0.5000, 0.5000)  4 Ag 2.54, 4 Co 2.54



[10]
Material: Ni9S8
Method: DFT, PBE
State: relaxed

Calculated values
size of the total moment	0.029	μB/f.u.
V	484.8	Å³/cell
DFT total energy	-5.270	eV per atom
space group	No. 21

a b c (Å): 7.2534 7.2534 9.3787
angles (deg): 90.00 90.00 79.30
With the nearest neighbours (Å) after each atom.
Positions (direct):
Ni (0.7770, 0.2230, 0.0000)  4 S 2.25-2.26
Ni (0.5000, 0.5000, 0.0000)  4 S 2.19
Ni (0.2230, 0.7770, 0.0000)  4 S 2.25-2.26
Ni (0.0575, 0.3126, 0.1217)  5 S 2.23-2.37
Ni (0.9425, 0.6874, 0.1217)  5 S 2.23-2.37
Ni (0.0000, 0.0000, 0.2154)  4 S 2.20-2.25
Ni (0.5000, 0.0000, 0.2703)  4 S 2.17
Ni (0.7103, 0.4594, 0.3745)  5 S 2.26-2.31
Ni (0.2897, 0.5406, 0.3745)  5 S 2.26-2.31
Ni (0.0000, 0.0000, 0.5000)  4 S 2.21
Ni (0.2356, 0.2356, 0.5000)  4 S 2.22-2.25
Ni (0.7644, 0.7644, 0.5000)  4 S 2.22-2.25
Ni (0.5406, 0.2897, 0.6255)  5 S 2.26-2.31
Ni (0.4594, 0.7103, 0.6255)  5 S 2.26-2.31
Ni (0.0000, 0.5000, 0.7297)  4 S 2.17
Ni (0.0000, 0.0000, 0.7846)  4 S 2.20-2.25
Ni (0.3126, 0.0575, 0.8783)  5 S 2.23-2.37
Ni (0.6874, 0.9425, 0.8783)  5 S 2.23-2.37
S (0.2694, 0.0334, 0.1196)  5 Ni 2.17-2.30
S (0.7306, 0.9666, 0.1196)  5 Ni 2.17-2.30
S (0.7480, 0.4839, 0.1357)  5 Ni 2.19-2.36
S (0.2520, 0.5161, 0.1357)  5 Ni 2.19-2.36
S (0.9815, 0.2490, 0.3607)  5 Ni 2.21-2.37
S (0.0185, 0.7510, 0.3607)  5 Ni 2.21-2.37
S (0.4981, 0.2589, 0.3858)  5 Ni 2.17-2.31
S (0.5019, 0.7411, 0.3858)  5 Ni 2.17-2.31
S (0.2589, 0.4981, 0.6142)  5 Ni 2.17-2.31
S (0.7411, 0.5019, 0.6142)  5 Ni 2.17-2.31
S (0.7510, 0.0185, 0.6393)  5 Ni 2.21-2.37
S (0.2490, 0.9815, 0.6393)  5 Ni 2.21-2.37
S (0.5161, 0.2520, 0.8643)  5 Ni 2.19-2.36
S (0.4839, 0.7480, 0.8643)  5 Ni 2.19-2.36
S (0.0334, 0.2694, 0.8804)  5 Ni 2.17-2.30
S (0.9666, 0.7306, 0.8804)  5 Ni 2.17-2.30



[11]
Material: Rb2PdSeS2
Method: DFT, PBE
State: relaxed

Calculated values
V	363.9	Å³/cell
DFT total energy	-3.679	eV per atom
space group	No. 12

a b c (Å): 7.0997 7.0997 9.2152
angles (deg): 110.43 110.43 58.75
With the nearest neighbours (Å) after each atom.
Positions (direct):
Pd (0.5893, 0.5893, 0.1486)  3 S 2.29-2.32, 1 Se 2.44
Pd (0.4107, 0.4107, 0.8514)  3 S 2.29-2.32, 1 Se 2.44
Rb (0.2960, 0.2960, 0.1592)  5 S 3.41-3.73, 2 Se 3.53-3.58, 2 Pd 3.64-3.67
Rb (0.0867, 0.0867, 0.3710)  4 S 3.27-3.54, 3 Se 3.51-3.60
Rb (0.9133, 0.9133, 0.6290)  4 S 3.27-3.54, 3 Se 3.51-3.60
Rb (0.7040, 0.7040, 0.8408)  5 S 3.41-3.73, 2 Se 3.53-3.58, 2 Pd 3.64-3.67
S (0.7677, 0.2323, 0.0000)  2 Pd 2.32
S (0.2323, 0.7677, 0.0000)  2 Pd 2.32
S (0.7905, 0.7905, 0.2413)  1 Pd 2.29
S (0.2095, 0.2095, 0.7587)  1 Pd 2.29
Se (0.5976, 0.5976, 0.4176)  1 Pd 2.44
Se (0.4024, 0.4024, 0.5824)  1 Pd 2.44



[12]
Material: YSi2Pt2
Method: DFT, PBE
State: relaxed

Calculated values
size of the total moment	0.001	μB/f.u.
V	86.4	Å³/cell
DFT total energy	-6.918	eV per atom
space group	No. 139

a b c (Å): 5.7765 5.7765 5.7765
angles (deg): 137.67 137.67 61.41
With the nearest neighbours (Å) after each atom.
Positions (direct):
Pt (0.7500, 0.2500, 0.5000)  4 Si 2.47
Pt (0.2500, 0.7500, 0.5000)  4 Si 2.47
Si (0.3825, 0.3825, 0.0000)  1 Si 2.33, 4 Pt 2.47
Si (0.6175, 0.6175, 0.0000)  1 Si 2.33, 4 Pt 2.47
Y (0.0000, 0.0000, 0.0000)  8 Si 3.17, 8 Pt 3.24



Question: Which value of V does entry 12 give?
Answer: 86.4 Å³/cell